--- 1 ---
Ca2DyIn: optimized geometry, PBE.

Calculated volume, Å³/cell: 127.9
Magnetic moment, μB/f.u.: 0.00

The structure in POSCAR format:
```
Ca2DyIn
1.0
-2.7656 -2.3750 -2.0407
3.1024 -1.7093 -2.2152
0.7444 -5.2298 5.0778
Dy Ca In
1 2 1
direct
0.5000 0.5000 0.5000
0.0000 0.0000 0.2335
0.0000 0.0000 0.7665
0.5000 0.5000 0.0000
```

--- 2 ---
Ca2DyIn: optimized geometry, PBE.

Calculated volume, Å³/cell: 133.3
Magnetic moment, μB/f.u.: 0.67

The structure in POSCAR format:
```
Ca2DyIn
1.0
-3.2280 -1.6653 0.5638
-0.3218 -2.5399 2.6376
-4.0653 6.7104 8.5272
Dy Ca In
1 2 1
direct
0.5006 0.5006 0.4983
0.2573 0.2573 0.2280
0.0757 0.0757 0.7730
0.6664 0.6664 0.0007
```

--- 3 ---
Ca2DyIn: optimized geometry, PBE.

Calculated volume, Å³/cell: 143.1
Magnetic moment, μB/f.u.: 0.00

The structure in POSCAR format:
```
Ca2DyIn
1.0
3.6239 0.0000 0.0000
1.8119 3.1384 0.0000
1.8119 1.0461 12.5790
In Ca Dy
1 2 1
direct
0.0000 0.0000 0.0000
0.9134 0.9134 0.2598
0.0866 0.0866 0.7402
0.5000 0.5000 0.5000
```

--- 4 ---
Ca2DyIn: optimized geometry, PBE.

Calculated volume, Å³/cell: 123.4
Magnetic moment, μB/f.u.: 0.00

The structure in POSCAR format:
```
Ca2DyIn
1.0
5.2407 0.0000 0.0000
0.0000 4.8526 0.0000
0.0000 0.0000 4.8526
Dy In Ca
1 1 2
direct
0.5000 0.0000 0.0000
0.5000 0.5000 0.5000
0.0000 0.0000 0.5000
0.0000 0.5000 0.0000
```

Most stable of them? 4.

--- 1 ---
CaDy5In4: optimized geometry, PBE.

Calculated volume, Å³/cell: 638.5
Magnetic moment, μB/f.u.: 0.00

The structure in POSCAR format:
```
CaDy5In4
1.0
8.2060 0.0000 0.0000
0.0000 8.7720 0.0000
0.0000 0.0000 8.8706
Dy In Ca
10 8 2
direct
0.7473 0.2673 0.2986
0.7473 0.7327 0.7014
0.2527 0.7673 0.2014
0.2527 0.7673 0.7986
0.7473 0.7327 0.2986
0.2527 0.2327 0.7986
0.7473 0.2673 0.7014
0.2527 0.2327 0.2014
0.9224 0.5000 0.0000
0.0776 0.0000 0.5000
0.4531 0.8426 0.5000
0.0360 0.5000 0.6638
0.9640 0.0000 0.8362
0.9640 0.0000 0.1638
0.4531 0.1574 0.5000
0.0360 0.5000 0.3362
0.5469 0.3426 0.0000
0.5469 0.6574 0.0000
0.4001 0.5000 0.5000
0.5999 0.0000 0.0000
```

--- 2 ---
CaDy5In4: optimized geometry, PBE.

Calculated volume, Å³/cell: 286.0
Magnetic moment, μB/f.u.: 0.00

The structure in POSCAR format:
```
CaDy5In4
1.0
-0.5149 3.6127 0.4179
-3.6356 -0.5220 0.0327
0.5281 -2.3606 21.0568
In Ca Dy
4 1 5
direct
0.0000 0.0000 0.2204
0.0000 0.0000 0.5930
0.0000 0.0000 0.7796
0.0000 0.0000 0.4070
0.0000 0.0000 0.0000
0.5000 0.5000 0.3139
0.5000 0.5000 0.1297
0.5000 0.5000 0.6861
0.5000 0.5000 0.5000
0.5000 0.5000 0.8703
```

Most stable of them? 2.

--- 1 ---
CaDyIr2: optimized geometry, PBE.

Calculated volume, Å³/cell: 79.4
Magnetic moment, μB/f.u.: 0.00

The structure in POSCAR format:
```
CaDyIr2
1.0
4.8245 0.0000 0.0000
2.4123 4.1782 0.0000
2.4123 1.3927 3.9392
Ir Ca Dy
2 1 1
direct
0.2500 0.2500 0.2500
0.7500 0.7500 0.7500
0.5000 0.5000 0.5000
0.0000 0.0000 0.0000
```

--- 2 ---
CaDyIr2: optimized geometry, PBE.

Calculated volume, Å³/cell: 80.3
Magnetic moment, μB/f.u.: 0.00

The structure in POSCAR format:
```
CaDyIr2
1.0
3.4201 0.0000 0.0000
0.0000 3.4201 0.0000
0.0000 0.0000 6.8640
Ir Ca Dy
2 1 1
direct
0.0000 0.0000 0.7639
0.0000 0.0000 0.2361
0.5000 0.5000 0.5000
0.5000 0.5000 0.0000
```

Most stable of them? 2.

--- 1 ---
CaLaDy: optimized geometry, PBE.

Calculated volume, Å³/cell: 225.1
Magnetic moment, μB/f.u.: 0.08

The structure in POSCAR format:
```
CaLaDy
1.0
-1.1176 1.1100 3.2111
-7.4355 -5.4438 -0.7060
3.4396 -5.0811 2.9535
Dy La Ca
2 2 2
direct
0.0000 0.5000 0.5000
0.0000 0.5000 0.0000
0.5000 0.2204 0.2500
0.5000 0.7796 0.7500
0.0000 0.1451 0.7500
0.0000 0.8549 0.2500
```

--- 2 ---
CaLaDy: optimized geometry, PBE.

Calculated volume, Å³/cell: 109.8
Magnetic moment, μB/f.u.: 0.00

The structure in POSCAR format:
```
CaLaDy
1.0
3.7280 0.0000 0.0000
0.0000 3.7280 0.0000
-1.8640 -1.8640 7.9010
Ca Dy La
1 1 1
direct
0.9962 0.9962 0.9923
0.3266 0.3266 0.6533
0.6772 0.6772 0.3544
```

Most stable of them? 2.

--- 1 ---
CaLaDy2: optimized geometry, PBE.

Calculated volume, Å³/cell: 139.1
Magnetic moment, μB/f.u.: 0.00

The structure in POSCAR format:
```
CaLaDy2
1.0
3.6480 0.0000 0.0000
1.8240 3.1593 0.0000
1.8240 1.0531 12.0671
La Dy Ca
1 2 1
direct
0.6661 0.6661 0.0017
0.0803 0.0803 0.7590
0.2530 0.2530 0.2411
0.5006 0.5006 0.4982
```

--- 2 ---
CaLaDy2: optimized geometry, PBE.

Calculated volume, Å³/cell: 139.1
Magnetic moment, μB/f.u.: 0.00

The structure in POSCAR format:
```
CaLaDy2
1.0
-0.9513 -4.3777 -2.8524
-0.3284 -2.7379 4.3115
-5.0244 0.9487 0.2197
Ca La Dy
1 1 2
direct
0.5000 0.0000 0.0000
0.5000 0.5000 0.5000
0.0000 0.0000 0.5000
0.0000 0.5000 0.0000
```

--- 3 ---
CaLaDy2: optimized geometry, PBE.

Calculated volume, Å³/cell: 140.0
Magnetic moment, μB/f.u.: 0.00

The structure in POSCAR format:
```
CaLaDy2
1.0
-2.6204 -2.0094 1.5681
0.6964 -1.8194 3.0932
-4.1550 8.3349 7.9982
Dy La Ca
2 1 1
direct
0.2528 0.2528 0.2415
0.7472 0.7472 0.7585
0.0000 0.0000 0.0000
0.5000 0.5000 0.5000
```

Most stable of them? 1.

--- 1 ---
CaLaDy2: optimized geometry, PBE.

Calculated volume, Å³/cell: 140.8
Magnetic moment, μB/f.u.: 0.00

The structure in POSCAR format:
```
CaLaDy2
1.0
-1.0812 -0.3230 -3.5183
-1.0764 -3.4743 0.6497
-9.3941 3.3922 2.5755
Ca Dy La
1 2 1
direct
0.5000 0.5000 0.5000
0.0000 0.0000 0.7634
0.0000 0.0000 0.2366
0.5000 0.5000 0.0000
```

--- 2 ---
CaLaDy2: optimized geometry, PBE.

Calculated volume, Å³/cell: 140.1
Magnetic moment, μB/f.u.: 0.02

The structure in POSCAR format:
```
CaLaDy2
1.0
-1.5861 5.5721 0.6543
-5.6314 1.4813 -0.2907
-2.8245 1.6807 4.8155
Dy La Ca
2 1 1
direct
0.2500 0.2500 0.2500
0.7500 0.7500 0.7500
0.5000 0.5000 0.5000
0.0000 0.0000 0.0000
```

Most stable of them? 1.

--- 1 ---
CaLaNdDy: optimized geometry, PBE.

Calculated volume, Å³/cell: 144.3
Magnetic moment, μB/f.u.: 0.00

The structure in POSCAR format:
```
CaLaNdDy
1.0
-2.4609 3.6166 3.9410
-2.7553 -2.2136 4.7091
2.3852 0.5845 5.3513
Ca Dy Nd La
1 1 1 1
direct
0.5000 0.5000 0.5000
0.0000 0.0000 0.0000
0.7500 0.7500 0.7500
0.2500 0.2500 0.2500
```

--- 2 ---
CaLaNdDy: optimized geometry, PBE.

Calculated volume, Å³/cell: 144.5
Magnetic moment, μB/f.u.: 0.00

The structure in POSCAR format:
```
CaLaNdDy
1.0
-1.4776 -1.0995 -3.1911
2.0792 -2.3223 1.9645
-10.0079 -3.9027 5.9787
Dy La Nd Ca
1 1 1 1
direct
0.6667 0.3333 0.1780
0.3333 0.6667 0.9406
0.0000 0.0000 0.4098
0.6667 0.3333 0.6709
```

Most stable of them? 2.

--- 1 ---
CaDyLu2: optimized geometry, PBE.

Calculated volume, Å³/cell: 128.1
Magnetic moment, μB/f.u.: 0.00

The structure in POSCAR format:
```
CaDyLu2
1.0
-3.5149 -2.0959 2.9759
3.5419 -2.8170 2.1996
0.7456 3.6110 3.4239
Dy Lu Ca
1 2 1
direct
0.5000 0.5000 0.5000
0.0000 0.0000 0.5000
0.0000 0.5000 0.0000
0.5000 0.0000 0.0000
```

--- 2 ---
CaDyLu2: optimized geometry, PBE.

Calculated volume, Å³/cell: 130.8
Magnetic moment, μB/f.u.: 0.03

The structure in POSCAR format:
```
CaDyLu2
1.0
3.5711 0.0000 0.0000
0.0000 3.5711 0.0000
0.0000 0.0000 10.2559
Ca Dy Lu
1 1 2
direct
0.5000 0.5000 0.5000
0.5000 0.5000 0.0000
0.0000 0.0000 0.7711
0.0000 0.0000 0.2289
```

Most stable of them? 2.

--- 1 ---
CaDyMg: optimized geometry, PBE.

Calculated volume, Å³/cell: 189.5
Magnetic moment, μB/f.u.: 0.00

The structure in POSCAR format:
```
CaDyMg
1.0
3.7399 0.0000 0.0000
0.0000 3.7399 0.0000
0.0000 0.0000 13.5485
Mg Ca Dy
2 2 2
direct
0.0000 0.5000 0.2673
0.5000 0.0000 0.7327
0.0000 0.5000 0.8919
0.5000 0.0000 0.1081
0.0000 0.5000 0.5850
0.5000 0.0000 0.4150
```

--- 2 ---
CaDyMg: optimized geometry, PBE.

Calculated volume, Å³/cell: 94.6
Magnetic moment, μB/f.u.: 0.33

The structure in POSCAR format:
```
CaDyMg
1.0
-1.1479 -0.2728 -3.5443
3.4959 -0.7618 -1.0735
-2.3437 -6.1023 3.1972
Ca Dy Mg
1 1 1
direct
0.0134 0.0134 0.0268
0.3144 0.3144 0.6289
0.6722 0.6722 0.3443
```

Most stable of them? 1.

--- 1 ---
CaDyMg: optimized geometry, PBE.

Calculated volume, Å³/cell: 220.7
Magnetic moment, μB/f.u.: 0.00

The structure in POSCAR format:
```
CaDyMg
1.0
5.3520 0.0000 0.0000
0.0000 5.3520 0.0000
0.0000 0.0000 7.7049
Mg Dy Ca
2 2 2
direct
0.5000 0.0000 0.7639
0.0000 0.5000 0.2361
0.0000 0.0000 0.0000
0.5000 0.5000 0.0000
0.0000 0.0000 0.5000
0.5000 0.5000 0.5000
```

--- 2 ---
CaDyMg: optimized geometry, PBE.

Calculated volume, Å³/cell: 93.4
Magnetic moment, μB/f.u.: 0.00

The structure in POSCAR format:
```
CaDyMg
1.0
3.4015 0.0000 0.0000
0.0000 5.6302 0.0000
0.0000 -2.8151 4.8759
Dy Mg Ca
1 1 1
direct
0.9908 0.0000 0.0000
0.6260 0.6667 0.3333
0.3833 0.3333 0.6667
```

Most stable of them? 2.

--- 1 ---
CaPmDyMg: optimized geometry, PBE.

Calculated volume, Å³/cell: 129.0
Magnetic moment, μB/f.u.: 0.00

The structure in POSCAR format:
```
CaPmDyMg
1.0
-0.6216 -3.5746 -0.2499
2.6164 -0.6261 2.4473
-6.5676 0.6398 7.1850
Mg Ca Dy Pm
1 1 1 1
direct
0.5000 0.5000 0.3345
0.0000 0.0000 0.0965
0.0000 0.0000 0.5527
0.5000 0.5000 0.8010
```

--- 2 ---
CaPmDyMg: optimized geometry, PBE.

Calculated volume, Å³/cell: 125.8
Magnetic moment, μB/f.u.: 0.00

The structure in POSCAR format:
```
CaPmDyMg
1.0
-2.4661 -2.6044 4.3321
2.7153 -4.0972 2.7334
1.8651 0.8680 5.2344
Dy Pm Mg Ca
1 1 1 1
direct
0.2500 0.2500 0.2500
0.7500 0.7500 0.7500
0.0000 0.0000 0.0000
0.5000 0.5000 0.5000
```

Most stable of them? 1.

--- 1 ---
CaPrDyMg: optimized geometry, PBE.

Calculated volume, Å³/cell: 130.9
Magnetic moment, μB/f.u.: 0.00

The structure in POSCAR format:
```
CaPrDyMg
1.0
3.6613 0.0000 0.0000
0.0000 3.6613 0.0000
0.0000 0.0000 9.7681
Pr Mg Ca Dy
1 1 1 1
direct
0.5000 0.5000 0.8012
0.5000 0.5000 0.3343
0.0000 0.0000 0.0993
0.0000 0.0000 0.5499
```

--- 2 ---
CaPrDyMg: optimized geometry, PBE.

Calculated volume, Å³/cell: 128.0
Magnetic moment, μB/f.u.: 0.00

The structure in POSCAR format:
```
CaPrDyMg
1.0
5.6574 0.0000 0.0000
2.8287 4.8995 0.0000
2.8287 1.6332 4.6193
Mg Pr Ca Dy
1 1 1 1
direct
0.0000 0.0000 0.0000
0.7500 0.7500 0.7500
0.5000 0.5000 0.5000
0.2500 0.2500 0.2500
```

Most stable of them? 1.